# 1
First-principles (GGA-PBE) data for crystalline Pr12Dy7Pb at its relaxed geometry, as listed in the Alexandria database.

Structure (CIF):
```
data_Pr12Dy7Pb
_symmetry_space_group_name_H-M 'I m -3 m'
_symmetry_Int_Tables_number 229
_symmetry_space_group_name_Hall '-I 4 2 3'
_cell_length_a 11.6862
_cell_length_b 11.6862
_cell_length_c 11.6862
_cell_angle_alpha 90.00
_cell_angle_beta 90.00
_cell_angle_gamma 90.00
loop_
_atom_site_label
_atom_site_type_symbol
_atom_site_fract_x
_atom_site_fract_y
_atom_site_fract_z
Pr1 Pr 0.0000 0.2191 0.2191
Dy1 Dy 0.0000 0.0000 0.5000
Dy2 Dy 0.2500 0.2500 0.2500
Pb1 Pb 0.0000 0.0000 0.0000
```

Output
Density ... 6.3 g cm⁻³
E_form ... 0.62 eV per atom
Total magnetization ... 0.005 μB/f.u.

---

# 2
First-principles (GGA-PBE) data for crystalline PrDyPb6 at its relaxed geometry, as listed in the Alexandria database.

Structure (CIF):
```
data_PrDyPb6
_symmetry_space_group_name_H-M 'P 4/m m m'
_symmetry_Int_Tables_number 123
_symmetry_space_group_name_Hall '-P 4 2'
_cell_length_a 4.9118
_cell_length_b 4.9118
_cell_length_c 9.8271
_cell_angle_alpha 90.00
_cell_angle_beta 90.00
_cell_angle_gamma 90.00
loop_
_atom_site_label
_atom_site_type_symbol
_atom_site_fract_x
_atom_site_fract_y
_atom_site_fract_z
Pr1 Pr 0.0000 0.0000 0.0000
Dy1 Dy 0.0000 0.0000 0.5000
Pb1 Pb 0.0000 0.5000 0.2549
Pb2 Pb 0.5000 0.5000 0.0000
Pb3 Pb 0.5000 0.5000 0.5000
```

Output
Density ... 10.8 g cm⁻³
E_form ... -0.33 eV per atom
Total magnetization ... 0.000 μB/f.u.

---

# 3
First-principles (GGA-PBE) data for crystalline Pr9DyPb2 at its relaxed geometry, as listed in the Alexandria database.

Structure (CIF):
```
data_Pr9DyPb2
_symmetry_space_group_name_H-M 'P 4/m m m'
_symmetry_Int_Tables_number 123
_symmetry_space_group_name_Hall '-P 4 2'
_cell_length_a 5.0509
_cell_length_b 5.0509
_cell_length_c 15.5615
_cell_angle_alpha 90.00
_cell_angle_beta 90.00
_cell_angle_gamma 90.00
loop_
_atom_site_label
_atom_site_type_symbol
_atom_site_fract_x
_atom_site_fract_y
_atom_site_fract_z
Pr1 Pr 0.0000 0.0000 0.0000
Pr2 Pr 0.0000 0.0000 0.3378
Pr3 Pr 0.0000 0.5000 0.1726
Pr4 Pr 0.0000 0.5000 0.5000
Dy1 Dy 0.5000 0.5000 0.0000
Pb1 Pb 0.5000 0.5000 0.3370
```

Output
Density ... 7.7 g cm⁻³
E_form ... -0.21 eV per atom
Total magnetization ... 0.000 μB/f.u.

---

# 4
First-principles (GGA-PBE) data for crystalline Pr2Dy3Pb at its relaxed geometry, as listed in the Alexandria database.

Structure (CIF):
```
data_Pr2Dy3Pb
_symmetry_space_group_name_H-M 'C m m m'
_symmetry_Int_Tables_number 65
_symmetry_space_group_name_Hall '-C 2 2'
_cell_length_a 4.9277
_cell_length_b 15.4617
_cell_length_c 4.9625
_cell_angle_alpha 90.00
_cell_angle_beta 90.00
_cell_angle_gamma 90.00
loop_
_atom_site_label
_atom_site_type_symbol
_atom_site_fract_x
_atom_site_fract_y
_atom_site_fract_z
Pr1 Pr 0.0000 0.1619 0.0000
Dy1 Dy 0.0000 0.0000 0.5000
Dy2 Dy 0.0000 0.3353 0.5000
Pb1 Pb 0.0000 0.5000 0.0000
```

Output
Density ... 8.6 g cm⁻³
E_form ... -0.17 eV per atom
Total magnetization ... 0.000 μB/f.u.

---

# 5
First-principles (GGA-PBE) data for crystalline Pr5DyPb6 at its relaxed geometry, as listed in the Alexandria database.

Structure (CIF):
```
data_Pr5DyPb6
_symmetry_space_group_name_H-M 'P 1 2/m 1'
_symmetry_Int_Tables_number 10
_symmetry_space_group_name_Hall '-P 2y'
_cell_length_a 5.0769
_cell_length_b 9.2560
_cell_length_c 8.1173
_cell_angle_alpha 90.00
_cell_angle_beta 107.61
_cell_angle_gamma 90.00
loop_
_atom_site_label
_atom_site_type_symbol
_atom_site_fract_x
_atom_site_fract_y
_atom_site_fract_z
Pr1 Pr 0.0000 0.0000 0.0000
Pr2 Pr 0.3334 0.0000 0.6667
Pr3 Pr 0.3352 0.5000 0.6705
Dy1 Dy 0.0000 0.5000 0.0000
Pb1 Pb 0.1649 0.2527 0.3301
Pb2 Pb 0.5000 0.2527 0.0000
```

Output
Energy above the most stable polymorph in this dataset ... 0.0 kJ/mol of atoms
Density ... 9.6 g cm⁻³
E_form ... -0.51 eV per atom
Total magnetization ... 0.035 μB/f.u.

---

# 6
First-principles (GGA-PBE) data for crystalline PrDyPb2 at its relaxed geometry, as listed in the Alexandria database.

Structure (CIF):
```
data_PrDyPb2
_symmetry_space_group_name_H-M 'R -3 m'
_symmetry_Int_Tables_number 166
_symmetry_space_group_name_Hall '-R 3 2"'
_cell_length_a 4.1310
_cell_length_b 4.1310
_cell_length_c 26.2663
_cell_angle_alpha 90.00
_cell_angle_beta 90.00
_cell_angle_gamma 120.00
loop_
_atom_site_label
_atom_site_type_symbol
_atom_site_fract_x
_atom_site_fract_y
_atom_site_fract_z
Pr1 Pr 0.0000 0.0000 0.0000
Dy1 Dy 0.0000 0.0000 0.5000
Pb1 Pb 0.0000 0.0000 0.2471
```

Output
Density ... 9.2 g cm⁻³
E_form ... -0.37 eV per atom
Total magnetization ... 0.000 μB/f.u.

---

# 7
First-principles (GGA-PBE) data for crystalline PrDy2Pb at its relaxed geometry, as listed in the Alexandria database.

Structure (CIF):
```
data_PrDy2Pb
_symmetry_space_group_name_H-M 'P 1 21/m 1'
_symmetry_Int_Tables_number 11
_symmetry_space_group_name_Hall '-P 2yb'
_cell_length_a 4.7279
_cell_length_b 4.7741
_cell_length_c 11.6483
_cell_angle_alpha 90.00
_cell_angle_beta 101.65
_cell_angle_gamma 90.00
loop_
_atom_site_label
_atom_site_type_symbol
_atom_site_fract_x
_atom_site_fract_y
_atom_site_fract_z
Pr1 Pr 0.1912 0.2500 0.3842
Dy1 Dy 0.0567 0.7500 0.1131
Dy2 Dy 0.4382 0.7500 0.8763
Pb1 Pb 0.3380 0.2500 0.6732
```

Output
Energy above the most stable polymorph in this dataset ... 0.0 kJ/mol of atoms
Density ... 8.7 g cm⁻³
E_form ... -0.31 eV per atom
Total magnetization ... 0.000 μB/f.u.

---

# 8
First-principles (GGA-PBE) data for crystalline PrDy2Pb at its relaxed geometry, as listed in the Alexandria database.

Structure (CIF):
```
data_PrDy2Pb
_symmetry_space_group_name_H-M 'R -3 m'
_symmetry_Int_Tables_number 166
_symmetry_space_group_name_Hall '-R 3 2"'
_cell_length_a 3.5697
_cell_length_b 3.5697
_cell_length_c 36.4171
_cell_angle_alpha 90.00
_cell_angle_beta 90.00
_cell_angle_gamma 120.00
loop_
_atom_site_label
_atom_site_type_symbol
_atom_site_fract_x
_atom_site_fract_y
_atom_site_fract_z
Pr1 Pr 0.0000 0.0000 0.0000
Dy1 Dy 0.0000 0.0000 0.4130
Pb1 Pb 0.0000 0.0000 0.5000
```

Output
Energy above the most stable polymorph in this dataset ... 34.7 kJ/mol of atoms
Density ... 8.3 g cm⁻³
E_form ... 0.05 eV per atom
Total magnetization ... 0.000 μB/f.u.

---

# 9
First-principles (GGA-PBE) data for crystalline Pr3DyPb3 at its relaxed geometry, as listed in the Alexandria database.

Structure (CIF):
```
data_Pr3DyPb3
_symmetry_space_group_name_H-M 'C 1 2/m 1'
_symmetry_Int_Tables_number 12
_symmetry_space_group_name_Hall '-C 2y'
_cell_length_a 8.5173
_cell_length_b 10.9710
_cell_length_c 9.8277
_cell_angle_alpha 90.00
_cell_angle_beta 90.59
_cell_angle_gamma 90.00
loop_
_atom_site_label
_atom_site_type_symbol
_atom_site_fract_x
_atom_site_fract_y
_atom_site_fract_z
Pr1 Pr 0.0000 0.1845 0.0000
Pr2 Pr 0.0000 0.2301 0.5000
Pr3 Pr 0.0746 0.5000 0.8114
Dy1 Dy 0.2132 0.5000 0.4657
Pb1 Pb 0.0381 0.0000 0.2665
Pb2 Pb 0.2389 0.2827 0.2417
```

Output
Density ... 8.7 g cm⁻³
E_form ... -0.37 eV per atom
Total magnetization ... 0.001 μB/f.u.

---

# 10
First-principles (GGA-PBE) data for crystalline Pr3Dy2Pb6 at its relaxed geometry, as listed in the Alexandria database.

Structure (CIF):
```
data_Pr3Dy2Pb6
_symmetry_space_group_name_H-M 'I 4/m m m'
_symmetry_Int_Tables_number 139
_symmetry_space_group_name_Hall '-I 4 2'
_cell_length_a 5.9222
_cell_length_b 5.9222
_cell_length_c 22.7012
_cell_angle_alpha 90.00
_cell_angle_beta 90.00
_cell_angle_gamma 90.00
loop_
_atom_site_label
_atom_site_type_symbol
_atom_site_fract_x
_atom_site_fract_y
_atom_site_fract_z
Pr1 Pr 0.0000 0.0000 0.0000
Pr2 Pr 0.0000 0.0000 0.1542
Dy1 Dy 0.0000 0.0000 0.4261
Pb1 Pb 0.0000 0.0000 0.2946
Pb2 Pb 0.0000 0.5000 0.0770
```

Output
Density ... 8.3 g cm⁻³
E_form ... -0.15 eV per atom
Total magnetization ... 0.000 μB/f.u.

---

# 11
First-principles (GGA-PBE) data for crystalline PrDy4Pb4 at its relaxed geometry, as listed in the Alexandria database.

Structure (CIF):
```
data_PrDy4Pb4
_symmetry_space_group_name_H-M 'P 42/n'
_symmetry_Int_Tables_number 86
_cell_length_a 10.0769
_cell_length_b 10.0769
_cell_length_c 6.2101
_cell_angle_alpha 90.00
_cell_angle_beta 90.00
_cell_angle_gamma 90.00
loop_
_symmetry_equiv_pos_as_xyz
'x,y,z'
'-x,-y,-z'
'-y,x+1/2,z+1/2'
'y,-x+1/2,-z+1/2'
'-x+1/2,-y+1/2,z'
'x+1/2,y+1/2,-z'
'y+1/2,-x,z+1/2'
'-y+1/2,x,-z+1/2'
loop_
_atom_site_label
_atom_site_type_symbol
_atom_site_fract_x
_atom_site_fract_y
_atom_site_fract_z
Pr1 Pr 0.2500 0.2500 0.2500
Dy1 Dy 0.0932 0.6485 0.1586
Pb1 Pb 0.0385 0.6175 0.6667
```

Output
Density ... 8.5 g cm⁻³
E_form ... -0.23 eV per atom
Total magnetization ... 0.000 μB/f.u.